## NiRu2Au (GGA-PBE)

Data for a relaxed structure of NiRu2Au.

Results
The total magnetization is 0.00 Bohr magnetons per cell. As for the space group: P4/mmm. The offset from the most stable computed form comes out at 180 meV per atom. The formation energy comes out at 353 meV per atom.

Geometry as POSCAR:
```
NiRu2Au
1.0
2.738 0.009 0.000
-0.009 2.738 0.000
0.000 0.000 7.585
Au Ni Ru
1 1 2
Cartesian
1.364 1.373 1.896
1.364 1.373 5.689
0.000 0.000 7.354
0.000 0.000 4.023
```